[1]
Computed, not measured: a relaxed LaHgTe2 crystal at the GGA-PBE level of DFT.

Lattice parameters (Å, degrees): 9.943 9.943 9.943 24.74 24.74 24.74
Fractional positions:
Hg: 0.500 0.500 0.500
La: 0.000 0.000 0.000
Te: 0.894 0.894 0.894
Te: 0.106 0.106 0.106

Calculated values
raw total energy	-11.83	eV per cell
crystal system	trigonal
formation energy from raw total energies	-79	meV per atom
calculated density	6.524	g/cm3


[2]
Computed, not measured: a relaxed Sm8Ge5Au crystal at the GGA-PBE level of DFT.

Lattice parameters (Å, degrees): 7.848 7.848 7.848 109.70 109.01 109.70
Fractional positions:
Sm: 0.628 0.884 0.873
Sm: 0.634 0.383 0.878
Sm: 0.127 0.754 0.011
Sm: 0.494 0.617 0.251
Sm: 0.257 0.246 0.372
Sm: 0.749 0.243 0.366
Sm: 0.989 0.116 0.743
Sm: 0.122 0.757 0.506
Ge: 0.373 0.125 0.997
Ge: 0.500 0.000 0.500
Ge: 0.003 0.377 0.128
Ge: 0.872 0.875 0.249
Ge: 0.751 0.623 0.627
Au: 0.250 0.500 0.750

Calculated values
raw total energy	-75.12	eV per cell
energy of formation	-0.786	eV/atom
crystal system	tetragonal
calculated density	7.867	g/cm3


[3]
Computed, not measured: a relaxed NbV2In crystal at the GGA-PBE level of DFT.

Lattice parameters (Å, degrees): 3.066 3.066 8.760 79.92 79.92 60.00
Fractional positions:
V: 0.258 0.258 0.227
V: 0.742 0.742 0.773
In: 0.500 0.500 0.500
Nb: 0.000 0.000 0.000

Calculated values
raw total energy	-29.79	eV per cell
energy of formation	0.314	eV/atom
crystal system	trigonal
calculated density	7.359	g/cm3


[4]
Computed, not measured: a relaxed NaBe2B crystal at the GGA-PBE level of DFT.

Lattice parameters (Å, degrees): 3.975 5.098 5.458 68.03 81.62 80.27
Fractional positions:
Be: 0.596 0.677 0.962
Be: 0.755 0.986 0.046
Be: 0.245 0.014 0.954
Be: 0.404 0.323 0.038
Na: 0.224 0.739 0.494
Na: 0.776 0.261 0.506
B: 0.922 0.349 0.987
B: 0.078 0.651 0.013

Calculated values
raw total energy	-29.65	eV per cell
energy of formation	0.156	eV/atom
crystal system	triclinic
calculated density	1.710	g/cm3


[5]
Computed, not measured: a relaxed NaCaIr4 crystal at the GGA-PBE level of DFT.

Lattice parameters (Å, degrees): 5.319 5.319 5.319 60.00 60.00 60.00
Fractional positions:
Ir: 0.625 0.625 0.625
Ir: 0.125 0.625 0.625
Ir: 0.625 0.125 0.625
Ir: 0.625 0.625 0.125
Ca: 0.250 0.250 0.250
Na: 0.000 0.000 0.000

Calculated values
raw total energy	-39.46	eV per cell
energy of formation	-0.116	eV/atom
crystal system	cubic
calculated density	12.983	g/cm3


[6]
Computed, not measured: a relaxed Be2BiRh2 crystal at the GGA-PBE level of DFT.

Lattice parameters (Å, degrees): 3.742 3.742 5.964 71.72 71.72 90.00
Fractional positions:
Rh: 0.630 0.630 0.741
Rh: 0.370 0.370 0.259
Be: 0.750 0.250 0.500
Be: 0.250 0.750 0.500
Bi: 0.000 0.000 0.000

Calculated values
raw total energy	-26.62	eV per cell
energy relative to the lowest polymorph listed for this composition	19.8	meV/atom
energy of formation	-0.118	eV/atom
crystal system	tetragonal
calculated density	9.604	g/cm3


[7]
Computed, not measured: a relaxed Ba6HI3N2 crystal at the GGA-PBE level of DFT.

Lattice parameters (Å, degrees): 7.479 7.479 8.642 98.10 98.10 120.54
Each line ends with the local moment (μB).
Fractional positions:
I: 0.161 0.839 0.500  0.00
I: 0.500 0.500 0.500  0.00
I: 0.839 0.161 0.500  0.00
Ba: 0.707 0.707 0.178  0.10
Ba: 0.931 0.577 0.815  0.09
Ba: 0.293 0.293 0.822  0.10
Ba: 0.423 0.069 0.185  0.09
Ba: 0.069 0.423 0.185  0.09
Ba: 0.577 0.931 0.815  0.09
N: 0.330 0.670 0.000  -0.03
N: 0.670 0.330 0.000  -0.03
H: 0.000 0.000 0.000  -0.01

Calculated values
raw total energy	-47.07	eV per cell
crystal system	monoclinic
calculated density	5.132	g/cm3


[8]
Computed, not measured: a relaxed Y2GaSn crystal at the GGA-PBE level of DFT.

Lattice parameters (Å, degrees): 4.222 4.863 4.863 90.00 90.00 90.00
Fractional positions:
Y: 0.000 0.000 0.500
Y: 0.000 0.500 0.000
Sn: 0.500 0.000 0.000
Ga: 0.500 0.500 0.500

Calculated values
raw total energy	-22.38	eV per cell
energy of formation	-0.605	eV/atom
crystal system	tetragonal
calculated density	6.090	g/cm3